Crystalline Ac4DyAs5 at its relaxed geometry. Source: Alexandria via LeMat-Bulk, functional GGA-PBE.

Properties
Space-group type: No. 87
Energy of formation, meV per atom: -1454
VASP energy, eV per atom: -5.882

Cell: 6.344 7.743 7.743 Å, 80.34 65.82 65.82°
Positions (direct):
1 Ac 0.404 0.396 0.799
2 Ac 0.800 0.799 0.604
3 Ac 0.202 0.201 0.396
4 Ac 0.599 0.604 0.201
5 Dy 0.001 0.000 0.000
6 As 0.906 0.383 0.808
7 As 0.289 0.808 0.617
8 As 0.714 0.192 0.383
9 As 0.097 0.617 0.192
10 As 0.501 0.000 0.000

Crystalline AcDyEr2As4 at its relaxed geometry. Source: Alexandria via LeMat-Bulk, functional GGA-PBE.

Properties
Space-group type: No. 10
Energy of formation, meV per atom: -1463
VASP energy, eV per atom: -6.017

Cell: 4.218 7.299 7.305 Å, 70.59 90.00 90.00°
Positions (direct):
1 Ac 0.500 0.500 0.000
2 Dy 0.000 0.500 0.500
3 Er 0.000 0.000 0.000
4 Er 0.500 0.000 0.500
5 As 0.000 0.768 0.733
6 As 0.000 0.232 0.267
7 As 0.500 0.760 0.257
8 As 0.500 0.240 0.743

Crystalline Ac2DyErAs4 at its relaxed geometry. Source: Alexandria via LeMat-Bulk, functional GGA-PBE.

Properties
Space-group type: No. 10
Energy of formation, meV per atom: -1465
VASP energy, eV per atom: -5.963

Cell: 4.329 7.496 7.494 Å, 70.55 90.00 90.00°
Positions (direct):
1 Ac 0.000 0.000 0.000
2 Ac 0.500 0.000 0.500
3 Dy 0.500 0.500 0.000
4 Er 0.000 0.500 0.500
5 As 0.000 0.726 0.757
6 As 0.000 0.274 0.243
7 As 0.500 0.725 0.259
8 As 0.500 0.275 0.741

Crystalline AcDyHo2As4 at its relaxed geometry. Source: Alexandria via LeMat-Bulk, functional GGA-PBE.

Properties
Space-group type: No. 10
Energy of formation, meV per atom: -1469
VASP energy, eV per atom: -6.027

Cell: 4.226 7.316 7.319 Å, 70.61 90.00 90.00°
Positions (direct):
1 Ac 0.500 0.500 0.000
2 Dy 0.000 0.500 0.500
3 Ho 0.000 0.000 0.000
4 Ho 0.500 0.000 0.500
5 As 0.000 0.767 0.734
6 As 0.000 0.233 0.266
7 As 0.500 0.759 0.257
8 As 0.500 0.241 0.743

Crystalline Ac2LaDyAs4 at its relaxed geometry. Source: Alexandria via LeMat-Bulk, functional GGA-PBE.

Properties
Space-group type: No. 10
Energy of formation, meV per atom: -1488
VASP energy, eV per atom: -6.031

Cell: 4.405 7.626 7.619 Å, 70.57 90.00 90.00°
Positions (direct):
1 Ac 0.000 0.000 0.000
2 Ac 0.500 0.000 0.500
3 La 0.500 0.500 0.000
4 Dy 0.000 0.500 0.500
5 As 0.000 0.735 0.749
6 As 0.000 0.265 0.251
7 As 0.500 0.732 0.262
8 As 0.500 0.268 0.738

Crystalline AcLa2DyAs4 at its relaxed geometry. Source: Alexandria via LeMat-Bulk, functional GGA-PBE.

Properties
Space-group type: No. 10
Energy of formation, meV per atom: -1506
VASP energy, eV per atom: -6.151

Cell: 4.367 7.547 7.555 Å, 70.58 90.00 90.00°
Positions (direct):
1 Ac 0.500 0.500 0.000
2 La 0.000 0.000 0.000
3 La 0.500 0.000 0.500
4 Dy 0.000 0.500 0.500
5 As 0.000 0.752 0.738
6 As 0.000 0.248 0.262
7 As 0.500 0.745 0.262
8 As 0.500 0.255 0.738

What did the third record say?
Crystalline Ac2DyErAs4 at its relaxed geometry. Source: Alexandria via LeMat-Bulk, functional GGA-PBE.

Properties
Space-group type: No. 10
Energy of formation, meV per atom: -1465
VASP energy, eV per atom: -5.963

Cell: 4.329 7.496 7.494 Å, 70.55 90.00 90.00°
Positions (direct):
1 Ac 0.000 0.000 0.000
2 Ac 0.500 0.000 0.500
3 Dy 0.500 0.500 0.000
4 Er 0.000 0.500 0.500
5 As 0.000 0.726 0.757
6 As 0.000 0.274 0.243
7 As 0.500 0.725 0.259
8 As 0.500 0.275 0.741

Repeat the sixth record exactly.
Crystalline AcLa2DyAs4 at its relaxed geometry. Source: Alexandria via LeMat-Bulk, functional GGA-PBE.

Properties
Space-group type: No. 10
Energy of formation, meV per atom: -1506
VASP energy, eV per atom: -6.151

Cell: 4.367 7.547 7.555 Å, 70.58 90.00 90.00°
Positions (direct):
1 Ac 0.500 0.500 0.000
2 La 0.000 0.000 0.000
3 La 0.500 0.000 0.500
4 Dy 0.000 0.500 0.500
5 As 0.000 0.752 0.738
6 As 0.000 0.248 0.262
7 As 0.500 0.745 0.262
8 As 0.500 0.255 0.738